Model one:
An optimized crystal structure of AgRh2W. Source: the Alexandria database, functional PBE.

Cell lengths 4.7548, 4.7548, 2.8145 Å; angles 90.00, 90.00, 105.98 degrees
With the nearest neighbours (Å) after each atom.
Sites, in units of the cell vectors:
Ag (0.5000, 0.5000, 0.5000)  8 Rh 2.76, 2 Ag 2.81, 2 W 2.86
Rh (0.5000, 0.0000, 0.0000)  4 W 2.76, 4 Ag 2.76, 4 Rh 2.81-2.86
Rh (0.0000, 0.5000, 0.0000)  4 Ag 2.76, 4 W 2.76, 4 Rh 2.81-2.86
W (0.0000, 0.0000, 0.5000)  8 Rh 2.76, 2 W 2.81, 2 Ag 2.86

* space group: Cmmm, No. 65
* magnetic moment: 0.000 μB per formula unit


Model two:
An optimized crystal structure of AgRh2W. Source: the Alexandria database, functional PBE.

Cell lengths 4.0643, 4.0643, 3.6955 Å; angles 90.00, 90.00, 90.00 degrees
With the nearest neighbours (Å) after each atom.
Sites, in units of the cell vectors:
Ag (0.0000, 0.0000, 0.5000)  8 Rh 2.75, 4 W 2.87
Rh (0.5000, 0.0000, 0.0000)  4 W 2.75, 4 Ag 2.75, 4 Rh 2.87
Rh (0.0000, 0.5000, 0.0000)  4 W 2.75, 4 Ag 2.75, 4 Rh 2.87
W (0.5000, 0.5000, 0.5000)  8 Rh 2.75, 4 Ag 2.87

* space group: P4/mmm, No. 123
* magnetic moment: 0.000 μB per formula unit


Model three:
An optimized crystal structure of AgRh2W. Source: the Alexandria database, functional PBE.

Cell lengths 4.4315, 4.4315, 4.4315 Å; angles 60.00, 60.00, 60.00 degrees
With the nearest neighbours (Å) after each atom.
Sites, in units of the cell vectors:
Rh (0.2500, 0.2500, 0.2500)  4 W 2.71, 4 Ag 2.71
Rh (0.7500, 0.7500, 0.7500)  4 W 2.71, 4 Ag 2.71
Ag (0.0000, 0.0000, 0.0000)  8 Rh 2.71
W (0.5000, 0.5000, 0.5000)  8 Rh 2.71

* space group: Fm-3m, No. 225
* magnetic moment: 0.000 μB per formula unit


Model four:
An optimized crystal structure of AgRh2W. Source: the Alexandria database, functional PBE.

Cell lengths 9.4517, 9.4517, 9.4517 Å; angles 16.92, 16.92, 16.92 degrees
With the nearest neighbours (Å) after each atom.
Sites, in units of the cell vectors:
Ag (0.2510, 0.2510, 0.2510)  6 Ag 2.78, 3 Rh 2.88, 3 W 2.98
Rh (0.0032, 0.0032, 0.0032)  9 Rh 2.78-2.79, 3 Ag 2.88
Rh (0.7514, 0.7514, 0.7514)  3 W 2.67, 9 Rh 2.78-2.79
W (0.4945, 0.4945, 0.4945)  3 Rh 2.67, 6 W 2.78, 3 Ag 2.98

* space group: R3m, No. 160
* magnetic moment: 1.036 μB per formula unit


Least stable = model two


Model one:
An optimized crystal structure of YAgRh. Source: the Alexandria database, functional PBE.

Cell lengths 5.3212, 5.3212, 5.3212 Å; angles 142.37, 139.27, 56.65 degrees
With the nearest neighbours (Å) after each atom.
Sites, in units of the cell vectors:
Ag (0.9920, 0.9920, 0.0000)  5 Rh 2.94-3.17, 5 Y 2.95-3.06
Rh (0.3308, 0.3308, 0.0000)  5 Y 2.91-3.25, 5 Ag 2.94-3.17
Y (0.6772, 0.6772, 0.0000)  5 Rh 2.91-3.25, 5 Ag 2.95-3.06

* space group: Imm2, No. 44
* magnetic moment: 0.000 μB per formula unit


Model two:
An optimized crystal structure of YAgRh. Source: the Alexandria database, functional PBE.

Cell lengths 4.6362, 4.6362, 4.6362 Å; angles 60.00, 60.00, 60.00 degrees
With the nearest neighbours (Å) after each atom.
Sites, in units of the cell vectors:
Ag (0.0000, 0.0000, 0.0000)  4 Y 2.84
Rh (0.5000, 0.5000, 0.5000)  4 Y 2.84
Y (0.7500, 0.7500, 0.7500)  4 Ag 2.84, 4 Rh 2.84

* space group: F-43m, No. 216
* magnetic moment: 0.000 μB per formula unit


Least stable = model two


Model one:
An optimized crystal structure of YAgRh. Source: the Alexandria database, functional PBE.

Cell lengths 4.5976, 4.5976, 3.3760 Å; angles 90.00, 90.00, 120.00 degrees
With the nearest neighbours (Å) after each atom.
Sites, in units of the cell vectors:
Ag (0.0000, 0.0000, 0.1660)  3 Rh 2.65
Rh (0.6667, 0.3333, 0.1680)  3 Ag 2.65
Y (0.3333, 0.6667, 0.6661)  6 Rh 3.14-3.15, 6 Ag 3.15, 2 Y 3.38

* space group: P3m1, No. 156
* magnetic moment: 0.000 μB per formula unit


Model two:
An optimized crystal structure of YAgRh. Source: the Alexandria database, functional PBE.

Cell lengths 5.1043, 7.9702, 7.4410 Å; angles 83.69, 69.94, 71.32 degrees
With the nearest neighbours (Å) after each atom.
Sites, in units of the cell vectors:
Y (0.4905, 0.7412, 0.2777)  4 Rh 2.73-2.80
Y (0.2318, 0.2588, 0.2777)  4 Rh 2.73-2.80
Y (0.7682, 0.7412, 0.7223)  4 Rh 2.73-2.80
Y (0.5095, 0.2588, 0.7223)  4 Rh 2.73-2.80
Ag (0.8209, 0.0000, 0.3582)  2 Rh 2.84, 2 Ag 2.92
Ag (0.9006, 0.1988, 0.0000)  2 Rh 2.81, 3 Ag 2.92-3.00
Ag (0.0994, 0.8012, 0.0000)  2 Rh 2.81, 3 Ag 2.92-3.00
Ag (0.1791, 0.0000, 0.6418)  2 Rh 2.84, 2 Ag 2.92
Rh (0.0116, 0.6236, 0.3532)  4 Y 2.73-2.80, 1 Rh 2.77, 2 Ag 2.81-2.84
Rh (0.6352, 0.3764, 0.3532)  4 Y 2.73-2.80, 1 Rh 2.77, 2 Ag 2.81-2.84
Rh (0.3648, 0.6236, 0.6468)  4 Y 2.73-2.80, 1 Rh 2.77, 2 Ag 2.81-2.84
Rh (0.9884, 0.3764, 0.6468)  4 Y 2.73-2.80, 1 Rh 2.77, 2 Ag 2.81-2.84

* space group: Fmmm, No. 69
* magnetic moment: 0.000 μB per formula unit


Least stable = model two


Model one:
An optimized crystal structure of YAgRh. Source: the Alexandria database, functional PBE.

Cell lengths 4.9162, 4.9162, 5.6759 Å; angles 90.00, 90.00, 119.98 degrees
With the nearest neighbours (Å) after each atom.
Sites, in units of the cell vectors:
Y (0.6666, 0.8334, 0.7500)  5 Rh 2.84, 6 Ag 3.17
Y (0.3334, 0.1666, 0.2500)  5 Rh 2.84, 6 Ag 3.17
Ag (0.0000, 0.5000, 0.0000)  2 Ag 2.84, 6 Rh 3.17, 6 Y 3.17
Ag (0.0000, 0.5000, 0.5000)  2 Ag 2.84, 6 Rh 3.17, 6 Y 3.17
Rh (0.3332, 0.1668, 0.7500)  5 Y 2.84, 6 Ag 3.17
Rh (0.6668, 0.8332, 0.2500)  5 Y 2.84, 6 Ag 3.17

* space group: P6_3/mmc, No. 194
* magnetic moment: 0.000 μB per formula unit


Model two:
An optimized crystal structure of YAgRh. Source: the Alexandria database, functional PBE.

Cell lengths 4.5974, 4.5974, 4.5974 Å; angles 60.00, 60.00, 60.00 degrees
With the nearest neighbours (Å) after each atom.
Sites, in units of the cell vectors:
Ag (0.5000, 0.5000, 0.5000)  4 Rh 2.82
Rh (0.7500, 0.7500, 0.7500)  4 Y 2.82, 4 Ag 2.82
Y (0.0000, 0.0000, 0.0000)  4 Rh 2.82

* space group: F-43m, No. 216
* magnetic moment: 0.000 μB per formula unit


Least stable = model two


Model one:
An optimized crystal structure of Y4AgRh2. Source: the Alexandria database, functional PBE.

Cell lengths 7.6083, 7.6104, 7.5923 Å; angles 108.91, 108.90, 110.71 degrees
With the nearest neighbours (Å) after each atom.
Sites, in units of the cell vectors:
Y (0.9919, 0.2460, 0.3840)  2 Rh 2.75-2.86, 1 Ag 2.95
Y (0.3891, 0.5038, 0.2462)  2 Rh 2.75-2.86, 1 Ag 2.95
Y (0.8615, 0.6065, 0.6149)  2 Rh 2.75-2.85, 1 Ag 2.95
Y (0.7540, 0.1394, 0.7473)  2 Rh 2.75-2.86, 1 Ag 2.95
Y (0.3925, 0.0079, 0.2540)  2 Rh 2.75-2.86, 1 Ag 2.95
Y (0.2567, 0.1419, 0.7527)  2 Rh 2.75-2.86, 1 Ag 2.95
Y (0.4961, 0.7420, 0.8851)  2 Rh 2.74-2.86, 1 Ag 2.95
Y (0.8573, 0.6121, 0.1160)  2 Rh 2.75-2.86, 1 Ag 2.95
Ag (0.2508, 0.7500, 0.5001)  8 Y 2.95-3.28
Ag (0.9999, 0.9994, 0.9991)  8 Y 2.95-3.27
Rh (0.4934, 0.3754, 0.6185)  4 Y 2.75-2.86
Rh (0.7570, 0.8758, 0.3825)  4 Y 2.75-2.86
Rh (0.6246, 0.2425, 0.1171)  4 Y 2.75-2.86
Rh (0.1251, 0.5074, 0.8825)  4 Y 2.74-2.86

* space group: P1, No. 1
* magnetic moment: 0.000 μB per formula unit


Model two:
An optimized crystal structure of Y4AgRh2. Source: the Alexandria database, functional PBE.

Cell lengths 4.9285, 4.9285, 8.4441 Å; angles 73.03, 73.03, 60.00 degrees
With the nearest neighbours (Å) after each atom.
Sites, in units of the cell vectors:
Y (0.8715, 0.8715, 0.3856)  4 Rh 2.93-3.05, 1 Ag 3.07
Y (0.1285, 0.1285, 0.6144)  4 Rh 2.93-3.05, 1 Ag 3.07
Y (0.6203, 0.6203, 0.1390)  4 Rh 2.97-3.06, 3 Ag 3.05
Y (0.3797, 0.3797, 0.8610)  4 Rh 2.97-3.06, 3 Ag 3.05
Ag (0.0000, 0.0000, 0.0000)  8 Y 3.05-3.07
Rh (0.7487, 0.7487, 0.7539)  8 Y 2.93-3.06
Rh (0.2513, 0.2513, 0.2461)  8 Y 2.93-3.06

* space group: R-3m, No. 166
* magnetic moment: 0.000 μB per formula unit


Least stable = model one


Model one:
An optimized crystal structure of Zn2AgRh2. Source: the Alexandria database, functional PBE.

Cell lengths 3.7222, 3.7222, 6.5160 Å; angles 73.40, 73.40, 90.00 degrees
With the nearest neighbours (Å) after each atom.
Sites, in units of the cell vectors:
Zn (0.3981, 0.3981, 0.2037)  1 Zn 2.43, 4 Rh 2.57
Zn (0.6019, 0.6019, 0.7963)  1 Zn 2.43, 4 Rh 2.57
Rh (0.7500, 0.2500, 0.5000)  4 Zn 2.57, 4 Rh 2.63
Rh (0.2500, 0.7500, 0.5000)  4 Zn 2.57, 4 Rh 2.63
Ag (0.0000, 0.0000, 0.0000)  8 Zn 2.90

* space group: I4/mmm, No. 139
* magnetic moment: 0.078 μB per formula unit


Model two:
An optimized crystal structure of Zn2AgRh2. Source: the Alexandria database, functional PBE.

Cell lengths 7.0109, 7.0109, 3.0626 Å; angles 90.00, 90.00, 90.00 degrees
With the nearest neighbours (Å) after each atom.
Sites, in units of the cell vectors:
Zn (0.3633, 0.8633, 0.0000)  6 Rh 2.54-2.58, 1 Zn 2.71, 2 Ag 2.72
Zn (0.8633, 0.6367, 0.0000)  6 Rh 2.54-2.58, 1 Zn 2.71, 2 Ag 2.72
Zn (0.6367, 0.1367, 0.0000)  6 Rh 2.54-2.58, 1 Zn 2.71, 2 Ag 2.72
Zn (0.1367, 0.3633, 0.0000)  6 Rh 2.54-2.58, 1 Zn 2.71, 2 Ag 2.72
Rh (0.1591, 0.6591, 0.5000)  6 Zn 2.54-2.58
Rh (0.6591, 0.8409, 0.5000)  6 Zn 2.54-2.58
Rh (0.8409, 0.3409, 0.5000)  6 Zn 2.54-2.58
Rh (0.3409, 0.1591, 0.5000)  6 Zn 2.54-2.58
Ag (0.0000, 0.0000, 0.0000)  4 Zn 2.72
Ag (0.5000, 0.5000, 0.0000)  4 Zn 2.72

* space group: P4/mbm, No. 127
* magnetic moment: 0.000 μB per formula unit


Least stable = model one